DyGa2Pt8 (GGA-PBE, optimized geometry); formation energy from the elements = -0.496 eV/atom; crystal system = monoclinic; space group = C2/m (12); total magnetic moment = 0.0 μB per formula unit
1.0
3.7592 -5.8861 0.0000
3.7592 5.8861 0.0000
-1.7024 0.0000 4.2372
Dy Ga Pt
1 2 8
Direct
0.0000 0.0000 0.0000 Dy
0.3152 0.6848 0.5000 Ga
0.6848 0.3152 0.5000 Ga
0.0790 0.3212 0.6194 Pt
0.2363 0.7637 0.0000 Pt
0.3212 0.0790 0.6194 Pt
0.4031 0.4031 0.1867 Pt
0.5969 0.5969 0.8133 Pt
0.6788 0.9210 0.3806 Pt
0.7637 0.2363 0.0000 Pt
0.9210 0.6788 0.3806 Pt

=====

Ti6TlSn (GGA-PBE, optimized geometry); formation energy from the elements = -0.145 eV/atom; crystal system = orthorhombic; space group = Amm2 (38); total magnetic moment = 0.0 μB per formula unit
1.0
4.7864 0.0000 0.0000
0.0000 5.9177 0.0000
0.0000 0.0000 10.2340
Ti Tl Sn
12 2 2
Direct
0.0000 0.0000 0.0000 Ti
0.0000 0.2439 0.7566 Ti
0.0000 0.2561 0.2566 Ti
0.0000 0.5000 0.5000 Ti
0.0000 0.7439 0.2566 Ti
0.0000 0.7561 0.7566 Ti
0.5000 0.0000 0.6738 Ti
0.5000 0.2473 0.9206 Ti
0.5000 0.2527 0.4206 Ti
0.5000 0.5000 0.1738 Ti
0.5000 0.7473 0.4206 Ti
0.5000 0.7527 0.9206 Ti
0.5000 0.0000 0.1714 Tl
0.5000 0.5000 0.6714 Tl
0.0000 0.0000 0.5047 Sn
0.0000 0.5000 0.0047 Sn

=====

CaMg2Au (GGA-PBE, optimized geometry); formation energy from the elements = -0.351 eV/atom; crystal system = cubic; space group = F-43m (216); total magnetic moment = 0.0 μB per formula unit
1.0
7.1412 0.0000 0.0000
0.0000 7.1412 0.0000
0.0000 0.0000 7.1412
Ca Mg Au
4 8 4
Direct
0.0000 0.0000 0.0000 Ca
0.0000 0.5000 0.5000 Ca
0.5000 0.0000 0.5000 Ca
0.5000 0.5000 0.0000 Ca
0.0000 0.0000 0.5000 Mg
0.0000 0.5000 0.0000 Mg
0.2500 0.2500 0.7500 Mg
0.2500 0.7500 0.2500 Mg
0.5000 0.0000 0.0000 Mg
0.5000 0.5000 0.5000 Mg
0.7500 0.2500 0.2500 Mg
0.7500 0.7500 0.7500 Mg
0.2500 0.2500 0.2500 Au
0.2500 0.7500 0.7500 Au
0.7500 0.2500 0.7500 Au
0.7500 0.7500 0.2500 Au

=====

TcAs2Se (GGA-PBE, optimized geometry); crystal system = tetragonal; space group = P4/mmm (123); total magnetic moment = 1.4 μB per formula unit; E_form (uncorrected) = 2.4 eV/f.u.
1.0
3.7716 0.0000 0.0000
0.0000 3.7716 0.0000
0.0000 0.0000 5.0928
Tc As Se
1 2 1
Direct
0.0000 0.0000 0.0000 Tc
0.0000 0.5000 0.5000 As
0.5000 0.0000 0.5000 As
0.5000 0.5000 0.0000 Se

=====

CsNpBr4 (GGA-PBE, optimized geometry); crystal system = monoclinic; space group = C2/c (15); total magnetic moment = 4.0 μB per formula unit; E_form (uncorrected) = -8.9 eV/f.u.
1.0
5.0296 -7.7638 0.0000
5.0296 7.7638 0.0000
-3.3044 0.0000 6.1877
Cs Np Br
2 2 8
Direct
0.1439 0.8561 0.7500 Cs
0.8561 0.1439 0.2500 Cs
0.4991 0.5009 0.2500 Np
0.5009 0.4991 0.7500 Np
0.1871 0.2853 0.8200 Br
0.2657 0.5666 0.4436 Br
0.2853 0.1871 0.3200 Br
0.4334 0.7343 0.0564 Br
0.5666 0.2657 0.9436 Br
0.7147 0.8129 0.6800 Br
0.7343 0.4334 0.5564 Br
0.8129 0.7147 0.1800 Br

=====

AcNd2In3 (GGA-PBE, optimized geometry); formation energy from the elements = -0.465 eV/atom; crystal system = tetragonal; space group = P4/mmm (123); total magnetic moment = 0.0 μB per formula unit
1.0
3.9411 0.0000 0.0000
0.0000 3.9411 0.0000
0.0000 0.0000 11.9294
Ac Nd In
1 2 3
Direct
0.0000 0.0000 0.0000 Ac
0.0000 0.0000 0.3403 Nd
0.0000 0.0000 0.6597 Nd
0.5000 0.5000 0.1840 In
0.5000 0.5000 0.5000 In
0.5000 0.5000 0.8160 In